Here is an optimized crystal structure of SrZrSe2 from Alexandria. Energies are from PBE.

Properties
DOS at the Fermi energy in states/eV/f.u.: 1.2
Uncorrected energy in eV per atom: -5.62
Energy relative to the elements, uncorrected in eV per atom: -1.32
Space-group type: P4/mmm (123)
ΔE to the lowest computed polymorph in meV/atom: 162
Magnetization in μB/cell: 0.0

Unit cell a=3.5228 b=3.5229 c=8.0845 alpha=64.14 beta=90.00 gamma=90.00
Positions (direct):
1 Zr 0.5000 0.7500 0.7500
2 Se 0.0000 0.4680 0.5321
3 Se 0.0000 0.0320 0.9679
4 Sr 0.5000 0.2500 0.2500

=====

Here is an optimized crystal structure of SrNdGeAu from Alexandria. Energies are from PBE.

Properties
DOS at the Fermi energy in states/eV/f.u.: 1.5
Uncorrected energy in eV per atom: -4.27
Space-group type: F-43m (216)
ΔE_f in eV/atom: -0.682
Magnetization in μB/cell: 0.0

Unit cell a=5.3314 b=5.3314 c=5.3314 alpha=60.00 beta=60.00 gamma=60.00
Positions (direct):
1 Ge 0.7500 0.7500 0.7500
2 Nd 0.5000 0.5000 0.5000
3 Sr 0.0000 0.0000 0.0000
4 Au 0.2500 0.2500 0.2500

=====

Here is an optimized crystal structure of Pr2Ga3SbIr4 from Alexandria. Energies are from PBE.

Properties
DOS at the Fermi energy in states/eV/f.u.: 5.6
Uncorrected energy in eV per atom: -6.50
Energy relative to the elements, uncorrected in eV per atom: -0.68
Space-group type: P-4m2 (115)
Magnetization in μB/cell: 0.0

Unit cell a=4.4141 b=4.4141 c=10.1711 alpha=90.00 beta=90.00 gamma=90.00
Positions (direct):
1 Sb 0.5000 0.5000 0.5000
2 Ga 0.0000 0.5000 0.1223
3 Ga 0.0000 0.0000 0.5000
4 Ga 0.5000 0.0000 0.8777
5 Ir 0.5000 0.0000 0.6339
6 Ir 0.0000 0.0000 0.0000
7 Ir 0.0000 0.5000 0.3661
8 Ir 0.5000 0.5000 0.0000
9 Pr 0.5000 0.0000 0.2353
10 Pr 0.0000 0.5000 0.7647

=====

Here is an optimized crystal structure of DyHgPd from Alexandria. Energies are from PBE.

Properties
DOS at the Fermi energy in states/eV/f.u.: 1.6
Uncorrected energy in eV per atom: -3.95
Space-group type: F-43m (216)
ΔE_f in eV/atom: -0.587
Magnetization in μB/cell: 0.0

Unit cell a=4.7051 b=4.7051 c=4.7051 alpha=60.00 beta=60.00 gamma=60.00
Positions (direct):
1 Dy 0.0000 0.0000 0.0000
2 Hg 0.5000 0.5000 0.5000
3 Pd 0.2500 0.2500 0.2500

=====

Here is an optimized crystal structure of HfTiCo2 from Alexandria. Energies are from PBE.

Properties
DOS at the Fermi energy in states/eV/f.u.: 4.0
Uncorrected energy in eV per atom: -8.38
Space-group type: Fm-3m (225)
ΔE_f in eV/atom: -0.365
ΔE to the lowest computed polymorph in meV/atom: 43
Magnetization in μB/cell: 1.6

Unit cell a=4.3452 b=4.3452 c=4.3452 alpha=60.00 beta=60.00 gamma=60.00
Each line ends with the local moment (μB).
Positions (direct):
1 Hf 0.5000 0.5000 0.5000  -0.08
2 Co 0.7500 0.7500 0.7500  0.88
3 Co 0.2500 0.2500 0.2500  0.88
4 Ti 0.0000 0.0000 0.0000  0.02

=====

Here is an optimized crystal structure of BeRu2Pt from Alexandria. Energies are from PBE.

Properties
DOS at the Fermi energy in states/eV/f.u.: 4.9
Uncorrected energy in eV per atom: -6.96
Space-group type: Cmm2 (35)
ΔE_f in eV/atom: 0.123
Magnetization in μB/cell: 0.9

Unit cell a=2.6938 b=2.6938 c=8.4291 alpha=90.00 beta=90.00 gamma=117.86
Each line ends with the local moment (μB).
Positions (direct):
1 Ru 0.5000 0.5000 0.2740  0.28
2 Ru 0.0000 0.0000 0.0109  0.55
3 Be 0.0000 0.0000 0.4985  0.00
4 Pt 0.5000 0.5000 0.7166  0.01

=====

Here is an optimized crystal structure of CeNdTcI from Alexandria. Energies are from PBE.

Properties
DOS at the Fermi energy in states/eV/f.u.: 3.0
Uncorrected energy in eV per atom: -6.13
Energy relative to the elements, uncorrected in eV per atom: -0.47
Space-group type: P1 (1)
Magnetization in μB/cell: 0.0

Unit cell a=3.9965 b=4.1810 c=8.3903 alpha=89.17 beta=103.81 gamma=118.51
Positions (direct):
1 Nd 0.4956 0.1355 0.6667
2 Tc 0.2971 0.5031 0.9005
3 I 0.9762 0.4009 0.3627
4 Ce 0.1090 0.9913 0.0397

=====

Here is an optimized crystal structure of ZrZnCu3 from Alexandria. Energies are from PBE.

Properties
DOS at the Fermi energy in states/eV/f.u.: 3.2
Uncorrected energy in eV per atom: -3.11
Space-group type: Pm-3m (221)
ΔE_f in eV/atom: 1.308
ΔE to the lowest computed polymorph in meV/atom: 1450
Magnetization in μB/cell: 0.0

Unit cell a=4.9456 b=4.9456 c=4.9456 alpha=90.00 beta=90.00 gamma=90.00
Positions (direct):
1 Cu 0.0000 0.0000 0.5000
2 Cu 0.5000 0.0000 0.0000
3 Cu 0.0000 0.5000 0.0000
4 Zr 0.0000 0.0000 0.0000
5 Zn 0.5000 0.5000 0.5000

=====

Here is an optimized crystal structure of LaAlMo2 from Alexandria. Energies are from PBE.

Properties
DOS at the Fermi energy in states/eV/f.u.: 4.4
Uncorrected energy in eV per atom: -6.81
Space-group type: I-42d (122)
ΔE_f in eV/atom: 0.768
Magnetization in μB/cell: 0.0

Unit cell a=7.7476 b=7.7476 c=6.1470 alpha=50.94 beta=50.94 gamma=90.00
Positions (direct):
1 La 0.0000 0.0000 0.0000
2 La 0.7500 0.2500 0.5000
3 Mo 0.8750 0.8246 0.7500
4 Mo 0.5746 0.1250 0.2500
5 Mo 0.1754 0.6250 0.2500
6 Mo 0.3750 0.4254 0.7500
7 Al 0.2500 0.7500 0.5000
8 Al 0.5000 0.5000 0.0000

=====

Here is an optimized crystal structure of HfBAs3 from Alexandria. Energies are from PBE.

Properties
DOS at the Fermi energy in states/eV/f.u.: 5.1
Uncorrected energy in eV per atom: -5.61
Space-group type: Pm-3m (221)
ΔE_f in eV/atom: 0.505
ΔE to the lowest computed polymorph in meV/atom: 0
Magnetization in μB/cell: 0.0

Unit cell a=4.4210 b=4.4210 c=4.4210 alpha=90.00 beta=90.00 gamma=90.00
Positions (direct):
1 As 0.5000 0.0000 0.0000
2 As 0.0000 0.0000 0.5000
3 As 0.0000 0.5000 0.0000
4 Hf 0.5000 0.5000 0.5000
5 B 0.0000 0.0000 0.0000

=====

Here is an optimized crystal structure of Sr4ZnCo from Alexandria. Energies are from PBE.

Properties
DOS at the Fermi energy in states/eV/f.u.: 13.4
Uncorrected energy in eV per atom: -1.54
Space-group type: F-43m (216)
ΔE_f in eV/atom: 0.977
Magnetization in μB/cell: 1.2

Unit cell a=7.1043 b=7.1043 c=7.1043 alpha=60.00 beta=60.00 gamma=60.00
Each line ends with the local moment (μB).
Positions (direct):
1 Zn 0.7500 0.7500 0.7500  0.00
2 Sr 0.3747 0.3747 0.3747  -0.05
3 Sr 0.3747 0.3747 0.8758  -0.05
4 Sr 0.8758 0.3747 0.3747  -0.05
5 Sr 0.3747 0.8758 0.3747  -0.05
6 Co 0.0000 0.0000 0.0000  2.06

=====

Here is an optimized crystal structure of CePu2Pt2 from Alexandria. Energies are from PBE.

Properties
DOS at the Fermi energy in states/eV/f.u.: 19.1
Uncorrected energy in eV per atom: -9.97
Space-group type: Cmc2_1 (36)
ΔE_f in eV/atom: -0.631
ΔE to the lowest computed polymorph in meV/atom: 0
Magnetization in μB/cell: 0.7

Unit cell a=3.8997 b=9.7426 c=6.4176 alpha=90.00 beta=90.00 gamma=101.55
Each line ends with the local moment (μB).
Positions (direct):
1 Pu 0.7910 0.5821 0.6612  -5.23
2 Pu 0.5818 0.1635 0.4156  5.18
3 Pu 0.4182 0.8365 0.9156  5.18
4 Pu 0.2090 0.4179 0.1612  -5.23
5 Ce 0.4076 0.8152 0.3540  0.46
6 Ce 0.5924 0.1848 0.8540  0.46
7 Pt 0.8143 0.6286 0.1370  0.07
8 Pt 0.1857 0.3714 0.6370  0.07
9 Pt 0.0219 0.0437 0.1366  -0.06
10 Pt 0.9781 0.9563 0.6366  -0.06

=====

What is the formula in the fifth record?
HfTiCo2

=====

Which of these has the highest magnetization?
HfTiCo2

=====

Which value of DOS at the Fermi energy does entry 10 give?
5.1 states/eV/f.u.

=====

What did the eleventh record say?
Here is an optimized crystal structure of Sr4ZnCo from Alexandria. Energies are from PBE.

Properties
DOS at the Fermi energy in states/eV/f.u.: 13.4
Uncorrected energy in eV per atom: -1.54
Space-group type: F-43m (216)
ΔE_f in eV/atom: 0.977
Magnetization in μB/cell: 1.2

Unit cell a=7.1043 b=7.1043 c=7.1043 alpha=60.00 beta=60.00 gamma=60.00
Each line ends with the local moment (μB).
Positions (direct):
1 Zn 0.7500 0.7500 0.7500  0.00
2 Sr 0.3747 0.3747 0.3747  -0.05
3 Sr 0.3747 0.3747 0.8758  -0.05
4 Sr 0.8758 0.3747 0.3747  -0.05
5 Sr 0.3747 0.8758 0.3747  -0.05
6 Co 0.0000 0.0000 0.0000  2.06